[1]
PBEsol Y2Sc, relaxed; formation enthalpy at 0 K = 0.109 eV per atom; energy above the lowest structure with this stoichiometry = 86 meV per atom; N(E_F) = 6.277 states/eV per cell
1.0
5.385 0.000 0.000
-2.693 4.664 0.000
0.000 0.000 3.340
Y Sc
2 1
Direct
0.333 0.667 0.000 Y
0.667 0.333 0.000 Y
0.000 0.000 0.500 Sc



[2]
PBEsol Y3Sc, relaxed; formation enthalpy at 0 K = 0.046 eV per atom; energy above the lowest structure with this stoichiometry = 28 meV per atom; N(E_F) = 6.245 states/eV per cell
1.0
-2.433 2.433 4.831
2.433 -2.433 4.831
2.433 2.433 -4.831
Y Sc
3 1
Direct
0.000 0.000 0.000 Y
0.250 0.750 0.500 Y
0.750 0.250 0.500 Y
0.500 0.500 0.000 Sc



[3]
PBEsol Y2Sc, relaxed; formation enthalpy at 0 K = 0.033 eV per atom; energy above the lowest structure with this stoichiometry = 10 meV per atom; N(E_F) = 10.991 states/eV per cell
1.0
6.187 -1.744 0.000
6.187 1.744 0.000
-1.783 0.000 7.892
Y Sc
4 2
Direct
0.000 0.000 0.000 Y
0.052 0.052 0.604 Y
0.381 0.381 0.279 Y
0.723 0.723 0.935 Y
0.329 0.329 0.656 Sc
0.665 0.665 0.335 Sc



[4]
PBEsol Y5Sc, relaxed; formation enthalpy at 0 K = 0.036 eV per atom; N(E_F) = 9.267 states/eV per cell
1.0
3.473 0.000 0.000
0.000 3.473 0.000
0.000 0.000 14.535
Y Sc
5 1
Direct
0.000 0.000 0.000 Y
0.000 0.000 0.344 Y
0.000 0.000 0.656 Y
0.500 0.500 0.171 Y
0.500 0.500 0.829 Y
0.500 0.500 0.500 Sc



[5]
PBEsol YSc, relaxed; formation enthalpy at 0 K = 0.061 eV per atom; energy above the lowest structure with this stoichiometry = 38 meV per atom; N(E_F) = 6.320 states/eV per cell
1.0
3.407 0.000 0.000
-1.703 2.950 0.000
0.000 0.000 10.746
Y Sc
2 2
Direct
0.333 0.667 0.250 Y
0.667 0.333 0.750 Y
0.000 0.000 0.000 Sc
0.000 0.000 0.500 Sc



[6]
PBEsol Y3Sc, relaxed; formation enthalpy at 0 K = 0.043 eV per atom; energy above the lowest structure with this stoichiometry = 26 meV per atom; N(E_F) = 6.350 states/eV per cell
1.0
3.458 0.000 0.000
0.000 3.458 0.000
0.000 0.000 9.573
Y Sc
3 1
Direct
0.000 0.000 0.000 Y
0.500 0.500 0.262 Y
0.500 0.500 0.738 Y
0.000 0.000 0.500 Sc



[7]
PBEsol YSc, relaxed; formation enthalpy at 0 K = 0.058 eV per atom; energy above the lowest structure with this stoichiometry = 35 meV per atom; N(E_F) = 6.133 states/eV per cell
1.0
5.585 -1.688 0.000
5.585 1.688 0.000
-1.066 0.000 5.684
Y Sc
2 2
Direct
0.121 0.121 0.369 Y
0.879 0.879 0.631 Y
0.371 0.371 0.122 Sc
0.629 0.629 0.878 Sc



[8]
PBEsol YSc7, relaxed; formation enthalpy at 0 K = 0.056 eV per atom; N(E_F) = 14.400 states/eV per cell
1.0
0.000 4.593 4.593
4.593 0.000 4.593
4.593 4.593 0.000
Y Sc
1 7
Direct
0.000 0.000 0.000 Y
0.000 0.000 0.500 Sc
0.000 0.500 0.000 Sc
0.000 0.500 0.500 Sc
0.500 0.000 0.000 Sc
0.500 0.000 0.500 Sc
0.500 0.500 0.000 Sc
0.500 0.500 0.500 Sc



[9]
PBEsol Y5Sc, relaxed; formation enthalpy at 0 K = 0.316 eV per atom; N(E_F) = 10.194 states/eV per cell
1.0
0.000 4.517 4.517
4.517 0.000 4.517
4.517 4.517 0.000
Y Sc
5 1
Direct
0.000 0.000 0.000 Y
0.375 0.375 0.375 Y
0.375 0.375 0.874 Y
0.375 0.874 0.375 Y
0.874 0.375 0.375 Y
0.750 0.750 0.750 Sc



[10]
PBEsol YSc5, relaxed; formation enthalpy at 0 K = 0.021 eV per atom; energy above the lowest structure with this stoichiometry = 4 meV per atom; N(E_F) = 11.631 states/eV per cell
1.0
5.158 0.000 0.000
0.000 1.662 8.635
0.000 -1.662 8.635
Y Sc
1 5
Direct
0.000 0.000 0.000 Y
0.000 0.329 0.329 Sc
0.000 0.669 0.669 Sc
0.500 0.222 0.222 Sc
0.500 0.558 0.558 Sc
0.500 0.885 0.885 Sc



[11]
PBEsol Y2Sc3, relaxed; formation enthalpy at 0 K = 0.060 eV per atom; energy above the lowest structure with this stoichiometry = 0 meV per atom; N(E_F) = 8.926 states/eV per cell
1.0
-1.677 1.677 11.620
1.677 -1.677 11.620
1.677 1.677 -11.620
Y Sc
2 3
Direct
0.194 0.194 0.000 Y
0.806 0.806 0.000 Y
0.000 0.000 0.000 Sc
0.408 0.408 0.000 Sc
0.592 0.592 0.000 Sc



[12]
PBEsol YSc, relaxed; formation enthalpy at 0 K = 0.027 eV per atom; energy above the lowest structure with this stoichiometry = 4 meV per atom; N(E_F) = 15.185 states/eV per cell
1.0
5.937 0.000 0.000
0.000 5.320 0.000
0.000 0.000 6.869
Y Sc
4 4
Direct
0.090 0.250 0.127 Y
0.410 0.750 0.627 Y
0.590 0.250 0.373 Y
0.910 0.750 0.873 Y
0.077 0.250 0.624 Sc
0.423 0.750 0.124 Sc
0.577 0.250 0.876 Sc
0.923 0.750 0.376 Sc